Record 1
This record from Alexandria describes a geometry-optimized Rb3Th3TlTe8 structure. The functional is PBE-GGA.

## Properties
E: -69.3 eV per formula unit
Formation energy (no corrections): -1.112 eV per atom
Crystal system: trigonal
M_tot: 0.00 μB/f.u.

a b c (Å): 9.3922 9.3954 10.0543
angles (deg): 117.85 90.00 119.99
With the nearest neighbours (Å) after each atom.
Atoms (fractional coordinates):
Rb (0.0000, 0.0000, 0.0000)  6 Te 3.67-3.79
Rb (0.0000, 0.5000, 0.0000)  6 Te 3.67-3.79
Rb (0.5000, 0.5000, 0.0000)  6 Te 3.67-3.79
Th (0.5000, 0.0000, 0.5000)  6 Te 3.12-3.23
Th (0.5000, 0.5000, 0.5000)  6 Te 3.12-3.23
Th (0.0000, 0.5000, 0.5000)  6 Te 3.12-3.23
Tl (0.0000, 0.0000, 0.5000)  6 Te 3.40
Te (0.2642, 0.5284, 0.2926)  3 Th 3.23
Te (0.7358, 0.4716, 0.7074)  3 Th 3.23
Te (0.7518, 0.5036, 0.2974)  2 Th 3.12, 1 Tl 3.40
Te (0.2482, 0.4964, 0.7026)  2 Th 3.12, 1 Tl 3.40
Te (0.7518, 0.0456, 0.2975)  2 Th 3.12, 1 Tl 3.40
Te (0.2482, 0.9544, 0.7025)  2 Th 3.12, 1 Tl 3.40
Te (0.2937, 0.0456, 0.2975)  2 Th 3.12, 1 Tl 3.40
Te (0.7063, 0.9544, 0.7025)  2 Th 3.12, 1 Tl 3.40



Record 2
This record from Alexandria describes a geometry-optimized Rb3TmTh2Te6 structure. The functional is PBE-GGA.

## Properties
E: -55.6 eV per formula unit
Formation energy (no corrections): -1.215 eV per atom
Crystal system: monoclinic
Density of states at the Fermi level: 7.22 states/eV/f.u.
M_tot: 0.00 μB/f.u.

a b c (Å): 7.7928 7.7928 9.0835
angles (deg): 98.23 98.23 119.97
With the nearest neighbours (Å) after each atom.
Atoms (fractional coordinates):
Rb (0.1695, 0.8305, 0.5000)  6 Te 3.63-3.67
Rb (0.8305, 0.1695, 0.5000)  6 Te 3.63-3.67
Rb (0.5000, 0.5000, 0.5000)  6 Te 3.63-3.69
Tm (0.0000, 0.0000, 0.0000)  6 Te 3.10
Th (0.3340, 0.6660, 0.0000)  6 Te 3.18-3.19
Th (0.6660, 0.3340, 0.0000)  6 Te 3.18-3.19
Te (0.9318, 0.6067, 0.7945)  1 Tm 3.10, 2 Th 3.18-3.19
Te (0.7447, 0.7447, 0.2070)  1 Tm 3.10, 2 Th 3.18
Te (0.0682, 0.3933, 0.2055)  1 Tm 3.10, 2 Th 3.18-3.19
Te (0.6067, 0.9318, 0.7945)  1 Tm 3.10, 2 Th 3.18-3.19
Te (0.2553, 0.2553, 0.7930)  1 Tm 3.10, 2 Th 3.18
Te (0.3933, 0.0682, 0.2055)  1 Tm 3.10, 2 Th 3.18-3.19



Record 3
This record from Alexandria describes a geometry-optimized Rb3Tm3ThTe8 structure. The functional is PBE-GGA.

## Properties
E: -68.9 eV per formula unit
Formation energy (no corrections): -1.336 eV per atom
Crystal system: trigonal
M_tot: 0.00 μB/f.u.

a b c (Å): 8.9142 8.9137 10.1085
angles (deg): 116.17 90.00 120.00
With the nearest neighbours (Å) after each atom.
Atoms (fractional coordinates):
Rb (0.0000, 0.0000, 0.0000)  6 Te 3.69-3.70
Rb (0.0000, 0.5000, 0.0000)  6 Te 3.69-3.70
Rb (0.5000, 0.5000, 0.0000)  6 Te 3.69-3.70
Tm (0.5000, 0.0000, 0.5000)  6 Te 3.07-3.08
Tm (0.5000, 0.5000, 0.5000)  6 Te 3.07-3.08
Tm (0.0000, 0.5000, 0.5000)  6 Te 3.07-3.08
Th (0.0000, 0.0000, 0.5000)  6 Te 3.15-3.16
Te (0.2682, 0.5363, 0.3046)  3 Tm 3.08
Te (0.7318, 0.4637, 0.6954)  3 Tm 3.08
Te (0.7628, 0.5256, 0.3011)  2 Tm 3.07, 1 Th 3.16
Te (0.2372, 0.4744, 0.6989)  2 Tm 3.07, 1 Th 3.16
Te (0.7628, 0.0382, 0.3012)  2 Tm 3.07, 1 Th 3.15
Te (0.2372, 0.9618, 0.6988)  2 Tm 3.07, 1 Th 3.15
Te (0.2754, 0.0382, 0.3012)  2 Tm 3.07, 1 Th 3.15
Te (0.7246, 0.9618, 0.6988)  2 Tm 3.07, 1 Th 3.15



Record 4
This record from Alexandria describes a geometry-optimized Rb2TmTh2Te6 structure. The functional is PBE-GGA.

## Properties
E: -53.9 eV per formula unit
Formation energy (no corrections): -1.254 eV per atom
Crystal system: monoclinic
Density of states at the Fermi level: 5.25 states/eV/f.u.
M_tot: 0.00 μB/f.u.

a b c (Å): 7.7114 7.7114 9.2546
angles (deg): 98.17 98.17 119.87
With the nearest neighbours (Å) after each atom.
Atoms (fractional coordinates):
Rb (0.8311, 0.1689, 0.0000)  6 Te 3.68-3.70
Rb (0.1689, 0.8311, 0.0000)  6 Te 3.68-3.70
Tm (0.0000, 0.0000, 0.5000)  6 Te 3.08-3.10
Th (0.3328, 0.6672, 0.5000)  6 Te 3.16-3.17
Th (0.6672, 0.3328, 0.5000)  6 Te 3.16-3.17
Te (0.7418, 0.7418, 0.7018)  1 Tm 3.10, 2 Th 3.16
Te (0.0717, 0.3949, 0.7030)  1 Tm 3.08, 2 Th 3.16-3.17
Te (0.2582, 0.2582, 0.2982)  1 Tm 3.10, 2 Th 3.16
Te (0.3949, 0.0717, 0.7030)  1 Tm 3.08, 2 Th 3.16-3.17
Te (0.9283, 0.6051, 0.2970)  1 Tm 3.08, 2 Th 3.16-3.17
Te (0.6051, 0.9283, 0.2970)  1 Tm 3.08, 2 Th 3.16-3.17



Record 5
This record from Alexandria describes a geometry-optimized Rb2ThUTe4 structure. The functional is PBE-GGA.

## Properties
E: -41.2 eV per formula unit
Formation energy (no corrections): -1.002 eV per atom
Crystal system: monoclinic
Density of states at the Fermi level: 7.76 states/eV/f.u.
M_tot: 3.76 μB/f.u.

a b c (Å): 4.5239 7.8434 9.1031
angles (deg): 106.64 90.00 90.00
With the nearest neighbours (Å) after each atom.
Atoms (fractional coordinates):
Rb (0.5000, 0.0000, 0.5000)  6 Te 3.64-3.66
Rb (0.0000, 0.5000, 0.5000)  6 Te 3.65-3.66
Th (0.5000, 0.5000, 0.0000)  6 Te 3.17-3.19
U (0.0000, 0.0000, 0.0000)  6 Te 3.17-3.18
Te (0.5000, 0.2347, 0.2057)  2 U 3.17, 1 Th 3.17
Te (0.5000, 0.7653, 0.7943)  2 U 3.17, 1 Th 3.17
Te (0.0000, 0.2632, 0.7916)  1 U 3.18, 2 Th 3.19
Te (0.0000, 0.7368, 0.2084)  1 U 3.18, 2 Th 3.19



Record 6
This record from Alexandria describes a geometry-optimized Rb4ThU3Te8 structure. The functional is PBE-GGA.

## Properties
E: -85.0 eV per formula unit
Formation energy (no corrections): -0.921 eV per atom
Crystal system: trigonal
Density of states at the Fermi level: 21.64 states/eV/f.u.
M_tot: 10.01 μB/f.u.

a b c (Å): 9.0571 10.1340 9.0565
angles (deg): 116.53 120.00 90.00
With the nearest neighbours (Å) after each atom.
Atoms (fractional coordinates):
Rb (0.5000, 0.0000, 0.0000)  6 Te 3.65
Rb (0.5000, 0.0000, 0.5000)  6 Te 3.66-3.67
Rb (0.0000, 0.0000, 0.0000)  6 Te 3.66-3.67
Rb (0.0000, 0.0000, 0.5000)  6 Te 3.66-3.67
Th (0.0000, 0.5000, 0.0000)  6 Te 3.17
U (0.5000, 0.5000, 0.0000)  6 Te 3.15-3.16
U (0.5000, 0.5000, 0.5000)  6 Te 3.15-3.16
U (0.0000, 0.5000, 0.5000)  6 Te 3.15-3.16
Te (0.2356, 0.7058, 0.9700)  2 U 3.16, 1 Th 3.17
Te (0.2356, 0.7058, 0.4713)  2 U 3.16, 1 Th 3.17
Te (0.2658, 0.2973, 0.5316)  3 U 3.15
Te (0.7344, 0.7058, 0.9700)  2 U 3.16, 1 Th 3.17
Te (0.2656, 0.2942, 0.0300)  2 U 3.16, 1 Th 3.17
Te (0.7342, 0.7027, 0.4684)  3 U 3.15
Te (0.7644, 0.2942, 0.5287)  2 U 3.16, 1 Th 3.17
Te (0.7644, 0.2942, 0.0300)  2 U 3.16, 1 Th 3.17